# Nb2ReP2 (PBE, relaxed)
# relative energy among the computed polymorphs = 460 meV per atom
# total DFT energy (no corrections) = -43.53 eV/f.u.
# ΔH_f (0 K) = -0.025 eV per atom
# mass density = 8756 kg/m3
data_Nb2ReP2
_chemical_formula_sum 'Nb2 Re1 P2'
_space_group_name_H-M_alt 'P 1'
_space_group_IT_number 1
_space_group_name_Hall 'P 1'
_cell_length_a 4.802
_cell_length_b 4.802
_cell_length_c 4.926
_cell_angle_alpha 60.83
_cell_angle_beta 60.83
_cell_angle_gamma 90.00
loop_
_atom_site_label
_atom_site_fract_x
_atom_site_fract_y
_atom_site_fract_z
P1 0.655 0.655 0.690
P2 0.345 0.345 0.310
Re1 0.000 0.000 0.000
Nb1 0.250 0.750 0.500
Nb2 0.750 0.250 0.500